No. 1
The following is a GGA-PBE calculation of an optimized crystal structure of Cs2LaInSe4, from the Alexandria database.

- ΔE_f (raw): -9.57 eV/f.u.
- SG: Imma (74)
- Crystal system: orthorhombic

Geometry as POSCAR:
```
Cs2LaInSe4
1.0
-5.471 -3.506 -6.541
7.229 -4.639 -3.351
-2.322 -0.784 8.967
Se Cs La In
8 4 2 2
direct
0.193 0.737 0.965
0.236 0.264 0.449
0.763 0.307 0.535
0.237 0.693 0.465
0.764 0.736 0.949
0.236 0.264 0.051
0.807 0.263 0.035
0.764 0.736 0.551
0.000 0.000 0.500
0.500 0.000 0.500
0.500 0.000 0.000
0.500 0.500 0.000
0.000 0.500 0.000
0.000 0.500 0.500
0.000 0.000 0.000
0.500 0.500 0.500
```

No. 2
The following is a GGA-PBE calculation of an optimized crystal structure of CsLaInTe3, from the Alexandria database.

- ΔE_f (raw): -6.17 eV/f.u.
- SG: P2_1/m (11)
- Crystal system: monoclinic

Geometry as POSCAR:
```
CsLaInTe3
1.0
-0.171 -0.921 5.139
-6.799 -6.930 -1.469
10.021 -4.694 -0.507
La In Cs Te
2 2 2 6
direct
0.750 0.322 0.865
0.250 0.678 0.135
0.250 0.116 0.601
0.750 0.884 0.399
0.250 0.224 0.249
0.750 0.776 0.751
0.250 0.106 0.862
0.750 0.212 0.544
0.250 0.788 0.456
0.750 0.894 0.138
0.750 0.481 0.161
0.250 0.519 0.839
```

No. 3
The following is a GGA-PBE calculation of an optimized crystal structure of Cs2LiIn, from the Alexandria database.

- Energy of formation from the pure elements: 0.272 eV per atom
- SG: I-42d (122)
- Crystal system: tetragonal

Geometry as POSCAR:
```
Cs2LiIn
1.0
7.725 2.747 2.071
-7.257 1.429 4.098
0.878 -8.343 1.065
Cs In Li
4 2 2
direct
0.870 0.875 0.495
0.625 0.130 0.005
0.125 0.620 0.995
0.380 0.375 0.505
0.250 0.750 0.500
0.000 0.000 0.000
0.500 0.500 0.000
0.750 0.250 0.500
```

No. 4
The following is a GGA-PBE calculation of an optimized crystal structure of CsLi3In, from the Alexandria database.

- Energy of formation from the pure elements: 0.801 eV per atom
- E above lowest polymorph: 785 meV/atom
- SG: Pm-3m (221)
- Crystal system: cubic

Geometry as POSCAR:
```
CsLi3In
1.0
-0.128 -1.949 -5.123
4.916 -2.308 0.755
-2.425 -4.576 1.802
Li Cs In
3 1 1
direct
0.500 0.000 0.000
0.000 0.000 0.500
0.000 0.500 0.000
0.000 0.000 0.000
0.500 0.500 0.500
```

No. 5
The following is a GGA-PBE calculation of an optimized crystal structure of Cs3LiIn4, from the Alexandria database.

- Energy of formation from the pure elements: -0.030 eV per atom
- SG: Pmmn (59)
- Crystal system: orthorhombic

Geometry as POSCAR:
```
Cs3LiIn4
1.0
7.396 0.000 0.000
0.000 6.288 0.000
0.000 0.000 15.674
Cs In Li
6 8 2
direct
0.212 0.000 0.739
0.511 0.000 0.000
0.212 0.000 0.261
0.788 0.500 0.239
0.788 0.500 0.761
0.489 0.500 0.500
0.306 0.500 0.900
0.694 0.000 0.400
0.694 0.000 0.600
0.988 0.739 0.500
0.012 0.761 0.000
0.306 0.500 0.100
0.012 0.239 0.000
0.988 0.261 0.500
0.667 0.500 0.000
0.333 0.000 0.500
```

No. 6
The following is a GGA-PBE calculation of an optimized crystal structure of CsLi2In2, from the Alexandria database.

- Energy of formation from the pure elements: -0.032 eV per atom
- E above lowest polymorph: 39 meV/atom
- SG: I4/mmm (139)
- Crystal system: tetragonal

Geometry as POSCAR:
```
CsLi2In2
1.0
-4.748 2.253 -1.473
-1.904 -4.923 -1.391
-5.194 -2.019 3.542
Li In Cs
2 2 1
direct
0.750 0.250 0.500
0.250 0.750 0.500
0.643 0.643 0.714
0.357 0.357 0.286
0.000 0.000 0.000
```